# 1
ZnCrMo meta-GGA SCAN single point on PBEsol structure; energy relative to the elements = 0.207 eV per atom
1.0
-1.386 -1.110 1.788
3.168 0.121 2.532
-2.049 4.004 -0.878
Zn Cr Mo
1 1 1
Cartesian
-0.777 2.353 0.859
-0.258 2.984 3.430
0.499 0.691 2.593


# 2
CuOsBr2 meta-GGA SCAN single point on PBEsol structure; formation energy without anion corrections = 1174.4 meV/atom
1.0
3.056 0.000 0.000
0.000 4.075 0.000
0.000 0.000 6.017
Cu Os Br
1 1 2
Cartesian
1.528 2.038 0.000
0.000 2.038 3.009
1.528 0.000 3.009
0.000 0.000 0.000


# 3
AsIr2Pb meta-GGA SCAN single point on PBEsol structure; energy relative to the elements = 0.275 eV per atom
1.0
-1.451 2.195 1.456
0.846 -1.705 3.414
5.086 3.154 0.315
Ir Pb As
2 1 1
Cartesian
4.893 3.034 0.303
0.903 0.993 2.510
2.366 1.467 0.147
3.947 2.881 2.698


# 4
Zr2TlOs meta-GGA SCAN single point on PBEsol structure; energy relative to the elements = -0.446 eV per atom
1.0
3.156 0.000 0.000
0.000 3.156 0.027
0.000 -0.074 7.928
Tl Zr Os
1 2 1
Cartesian
1.578 1.578 0.014
0.000 -0.019 2.297
0.000 3.101 5.658
1.578 1.541 3.978


# 5
SiSb2Br meta-GGA SCAN single point on PBEsol structure; formation energy without anion corrections = 464.4 meV/atom
1.0
-3.672 2.718 -2.201
-3.812 -2.348 -2.381
-4.659 0.057 2.002
Br Sb Si
1 2 1
Cartesian
-6.071 0.213 -1.290
-9.107 0.320 -1.935
0.000 0.000 0.000
-3.036 0.107 -0.645


# 6
Nd3Ir meta-GGA SCAN single point on PBEsol structure; energy relative to the elements = -0.567 eV per atom
1.0
-1.832 1.883 -5.858
-4.210 -5.901 -0.580
-7.403 4.900 3.890
Nd Ir
12 4
Cartesian
-1.525 -0.404 -0.847
-7.771 1.190 1.825
-9.521 3.934 -0.470
-6.767 2.112 -1.917
-6.678 -1.229 -0.631
-3.924 -3.052 -2.078
-4.278 1.418 0.600
-5.674 -0.307 -4.373
-3.167 2.230 -2.798
-9.167 -0.536 -3.148
-11.920 1.286 -1.701
-10.278 -1.348 0.250
-5.674 -3.853 0.093
-9.191 1.080 -0.739
-7.771 4.735 -2.640
-4.254 -0.198 -1.808


# 7
Li2SiRh meta-GGA SCAN single point on PBEsol structure; formation energy without anion corrections = -517.8 meV/atom
1.0
2.833 0.000 0.000
0.000 4.014 0.000
0.000 0.000 4.381
Li Si Rh
2 1 1
Cartesian
1.416 0.000 3.834
0.000 2.007 3.833
1.416 2.007 1.642
0.000 0.000 1.643


# 8
KScMo meta-GGA SCAN single point on PBEsol structure; energy relative to the elements = 2.236 eV per atom
1.0
4.774 0.000 0.000
2.387 4.134 0.000
2.387 1.378 3.898
Sc K Mo
1 1 1
Cartesian
4.774 2.756 1.949
2.387 1.378 0.974
0.000 0.000 0.000


For each record above, in turn, the calculated volume values are 13.33 18.73 17.61 19.74 23.05 28.28 12.45 25.64 A^3/atom.
For each record above, in turn, the calculated E_tot values are -66.16 -121.30 -237.07 -207.42 -102.14 -816.45 -50.64 -50.74 eV for the cell shown.